No. 1
# BaLiPbAu3

An optimized crystal structure of BaLiPbAu3 (PBE-GGA, Alexandria).

abc: 7.5497 6.2034 7.1690
angles: 115.64 90.00 90.00
Positions (direct):
Ba (0.7500, 0.3094, 0.6189)
Ba (0.2500, 0.6906, 0.3811)
Li (0.2500, 0.9372, 0.8743)
Li (0.7500, 0.0628, 0.1257)
Pb (0.2500, 0.3697, 0.7393)
Pb (0.7500, 0.6303, 0.2607)
Au (0.2500, 0.1396, 0.2792)
Au (0.0000, 0.2459, 0.0000)
Au (0.5000, 0.7541, 0.0000)
Au (0.5000, 0.2459, 0.0000)
Au (0.0000, 0.7541, 0.0000)
Au (0.7500, 0.8604, 0.7208)

Computed properties:
E_tot, eV/atom: -3.2952
V, Å³/cell: 302.7
Theoretical density, Mg/m³: 10.3



No. 2
# PaAl11Re

An optimized crystal structure of PaAl11Re (PBE-GGA, Alexandria).

abc: 5.2812 7.0550 6.8844
angles: 81.65 67.45 67.76
Positions (direct):
Pa (0.0000, 0.0000, 0.0000)
Al (0.2877, 0.2171, 0.2120)
Al (0.7123, 0.7829, 0.7880)
Al (0.5004, 0.7829, 0.2120)
Al (0.4996, 0.2171, 0.7880)
Al (0.3668, 0.6425, 0.6533)
Al (0.6332, 0.3575, 0.3467)
Al (0.9799, 0.3575, 0.6533)
Al (0.0201, 0.6425, 0.3467)
Al (0.0000, 0.5000, 0.0000)
Al (0.5000, 0.0000, 0.5000)
Al (0.0000, 0.0000, 0.5000)
Re (0.5000, 0.5000, 0.0000)

Computed properties:
E_tot, eV/atom: -5.0231
V, Å³/cell: 219.3
Theoretical density, Mg/m³: 5.4



No. 3
# Mn5NbPt

An optimized crystal structure of Mn5NbPt (PBE-GGA, Alexandria).

abc: 4.7078 7.8254 9.9254
angles: 90.00 90.00 90.00
Each line ends with the local moment (μB).
Positions (direct):
Mn (0.2500, 0.5940, 0.0264)  1.66
Mn (0.7500, 0.9060, 0.5264)  1.66
Mn (0.2500, 0.0940, 0.4736)  1.66
Mn (0.7500, 0.4060, 0.9736)  1.66
Mn (0.7500, 0.3086, 0.7456)  -0.37
Mn (0.2500, 0.1914, 0.2456)  -0.37
Mn (0.7500, 0.8086, 0.7544)  -0.37
Mn (0.2500, 0.6914, 0.2544)  -0.37
Mn (0.2500, 0.9457, 0.0971)  2.59
Mn (0.7500, 0.5543, 0.5971)  2.59
Mn (0.2500, 0.4457, 0.4029)  2.59
Mn (0.7500, 0.0543, 0.9029)  2.59
Mn (0.9915, 0.4284, 0.1852)  -0.94
Mn (0.0085, 0.0716, 0.6852)  -0.94
Mn (0.5085, 0.9284, 0.3148)  -0.94
Mn (0.4915, 0.5716, 0.8148)  -0.94
Mn (0.0085, 0.5716, 0.8148)  -0.94
Mn (0.9915, 0.9284, 0.3148)  -0.94
Mn (0.4915, 0.0716, 0.6852)  -0.94
Mn (0.5085, 0.4284, 0.1852)  -0.94
Nb (0.2500, 0.2486, 0.9395)  -0.25
Nb (0.7500, 0.2514, 0.4395)  -0.25
Nb (0.2500, 0.7486, 0.5605)  -0.25
Nb (0.7500, 0.7514, 0.0605)  -0.25
Pt (0.2500, 0.8698, 0.8551)  0.01
Pt (0.7500, 0.6302, 0.3551)  0.01
Pt (0.2500, 0.3698, 0.6449)  0.01
Pt (0.7500, 0.1302, 0.1449)  0.01

Computed properties:
E_tot, eV/atom: -8.9324
V, Å³/cell: 365.7
Theoretical density, Mg/m³: 10.2



No. 4
# Zr2CdMo

An optimized crystal structure of Zr2CdMo (PBE-GGA, Alexandria).

abc: 4.1384 4.1384 10.5346
angles: 78.67 78.67 90.00
Positions (direct):
Mo (0.5000, 0.5000, 0.0000)
Mo (0.2500, 0.7500, 0.5000)
Zr (0.6114, 0.1250, 0.2500)
Zr (0.1386, 0.6250, 0.2500)
Zr (0.3750, 0.3886, 0.7500)
Zr (0.8750, 0.8614, 0.7500)
Cd (0.0000, 0.0000, 0.0000)
Cd (0.7500, 0.2500, 0.5000)

Computed properties:
E_tot, eV/atom: -6.5450
V, Å³/cell: 173.3
Theoretical density, Mg/m³: 7.5



No. 5
# Pm2HgOsC

An optimized crystal structure of Pm2HgOsC (PBE-GGA, Alexandria).

abc: 3.9293 5.2279 5.2279
angles: 90.00 90.00 90.00
Positions (direct):
Pm (0.0000, 0.0000, 0.5000)
Pm (0.0000, 0.5000, 0.0000)
Hg (0.5000, 0.5000, 0.5000)
Os (0.5000, 0.0000, 0.0000)
C (0.0000, 0.0000, 0.0000)

Computed properties:
E_tot, eV/atom: -6.4049
V, Å³/cell: 107.4
Theoretical density, Mg/m³: 10.7



No. 6
# EuLuSb2

An optimized crystal structure of EuLuSb2 (PBE-GGA, Alexandria).

abc: 3.7074 3.7074 8.2098
angles: 90.00 90.00 90.00
Each line ends with the local moment (μB).
Positions (direct):
Eu (0.5000, 0.5000, 0.5000)  6.86
Sb (0.0000, 0.0000, 0.7696)  -0.02
Sb (0.0000, 0.0000, 0.2304)  -0.02
Lu (0.5000, 0.5000, 0.0000)  0.01

Computed properties:
Energy relative to the elements, uncorrected, eV/atom: -0.782
E_tot, eV/atom: -6.5424
V, Å³/cell: 112.8
Theoretical density, Mg/m³: 8.4



No. 7
# Zn2Bi2S

An optimized crystal structure of Zn2Bi2S (PBE-GGA, Alexandria).

abc: 3.6979 3.6979 8.8055
angles: 77.88 77.88 90.00
Positions (direct):
S (0.0000, 0.0000, 0.0000)
Zn (0.7500, 0.2500, 0.5000)
Zn (0.2500, 0.7500, 0.5000)
Bi (0.3940, 0.3940, 0.2119)
Bi (0.6060, 0.6060, 0.7881)

Computed properties:
Energy relative to the elements, uncorrected, eV/atom: 0.114
E_tot, eV/atom: -2.7732
V, Å³/cell: 115.0
Theoretical density, Mg/m³: 8.4



No. 8
# Na3Bi3RhO8

An optimized crystal structure of Na3Bi3RhO8 (PBE-GGA, Alexandria).

abc: 6.8864 6.8864 6.8962
angles: 119.96 90.00 120.00
Each line ends with the local moment (μB).
Positions (direct):
Na (0.0000, 0.0000, 0.0000)  0.00
Na (0.0000, 0.5000, 0.0000)  0.00
Na (0.5000, 0.5000, 0.0000)  0.00
Bi (0.5000, 0.0000, 0.5000)  0.01
Bi (0.5000, 0.5000, 0.5000)  0.01
Bi (0.0000, 0.5000, 0.5000)  0.01
Rh (0.0000, 0.0000, 0.5000)  0.37
O (0.2545, 0.5091, 0.2637)  0.02
O (0.7455, 0.4909, 0.7363)  0.02
O (0.7860, 0.5719, 0.2972)  0.06
O (0.2140, 0.4281, 0.7028)  0.06
O (0.7860, 0.0111, 0.2972)  0.06
O (0.2140, 0.9889, 0.7028)  0.06
O (0.2251, 0.0111, 0.2972)  0.06
O (0.7749, 0.9889, 0.7028)  0.06

Computed properties:
Energy relative to the elements, uncorrected, eV/atom: -1.191
E_tot, eV/atom: -5.3658
V, Å³/cell: 231.4
Theoretical density, Mg/m³: 6.7



No. 9
# La2Al12Fe3Ir

An optimized crystal structure of La2Al12Fe3Ir (PBE-GGA, Alexandria).

abc: 8.2013 8.2013 8.2013
angles: 61.58 61.58 61.58
Positions (direct):
La (0.6016, 0.6016, 0.6016)
La (0.3984, 0.3984, 0.3984)
Al (0.3147, 0.3147, 0.9503)
Al (0.8999, 0.8999, 0.3557)
Al (0.3557, 0.8999, 0.8999)
Al (0.9503, 0.3147, 0.3147)
Al (0.8999, 0.3557, 0.8999)
Al (0.3147, 0.9503, 0.3147)
Al (0.6853, 0.6853, 0.0497)
Al (0.1001, 0.1001, 0.6443)
Al (0.6443, 0.1001, 0.1001)
Al (0.0497, 0.6853, 0.6853)
Al (0.1001, 0.6443, 0.1001)
Al (0.6853, 0.0497, 0.6853)
Fe (0.5000, 0.0000, 0.0000)
Fe (0.0000, 0.5000, 0.0000)
Fe (0.0000, 0.0000, 0.5000)
Ir (0.0000, 0.0000, 0.0000)

Computed properties:
E_tot, eV/atom: -4.7555
V, Å³/cell: 403.9
Theoretical density, Mg/m³: 4.0



No. 10
# Nd3SmTm5

An optimized crystal structure of Nd3SmTm5 (PBE-GGA, Alexandria).

abc: 9.5225 9.5225 11.6629
angles: 52.08 52.08 71.82
Positions (direct):
Nd (0.7042, 0.7042, 0.8054)
Nd (0.6599, 0.6599, 0.3680)
Nd (0.0000, 0.0000, 0.0000)
Nd (0.0000, 0.0000, 0.5000)
Nd (0.2958, 0.2958, 0.1946)
Nd (0.3401, 0.3401, 0.6320)
Sm (0.1536, 0.1536, 0.5993)
Sm (0.8464, 0.8464, 0.4007)
Tm (0.8442, 0.3480, 0.2451)
Tm (0.2604, 0.7396, 0.0000)
Tm (0.8119, 0.8119, 0.9662)
Tm (0.4910, 0.4910, 0.2215)
Tm (0.5090, 0.5090, 0.7785)
Tm (0.1881, 0.1881, 0.0338)
Tm (0.3480, 0.8442, 0.2451)
Tm (0.7396, 0.2604, 0.0000)
Tm (0.1558, 0.6520, 0.7549)
Tm (0.6520, 0.1558, 0.7549)

Computed properties:
E_tot, eV/atom: -4.0753
V, Å³/cell: 654.5
Theoretical density, Mg/m³: 7.2



No. 11
# Tm2ZnGeO6

An optimized crystal structure of Tm2ZnGeO6 (PBE-GGA, Alexandria).

abc: 4.8703 5.1243 5.1243
angles: 90.00 90.00 90.00
Positions (direct):
Tm (0.9942, 0.5000, 0.0000)
Tm (0.9942, 0.0000, 0.5000)
Zn (0.5512, 0.5000, 0.5000)
Ge (0.5961, 0.0000, 0.0000)
O (0.7314, 0.2404, 0.2404)
O (0.7314, 0.2404, 0.7596)
O (0.1583, 0.5000, 0.5000)
O (0.2273, 0.0000, 0.0000)
O (0.7314, 0.7596, 0.7596)
O (0.7314, 0.7596, 0.2404)

Computed properties:
Energy relative to the elements, uncorrected, eV/atom: -2.435
E_tot, eV/atom: -6.8930
V, Å³/cell: 127.9
Theoretical density, Mg/m³: 7.4



No. 12
# AgRh2Pb

An optimized crystal structure of AgRh2Pb (PBE-GGA, Alexandria).

abc: 4.0431 4.0431 9.9456
angles: 78.27 78.27 90.00
Positions (direct):
Pb (0.0000, 0.0000, 0.0000)
Pb (0.7500, 0.2500, 0.5000)
Rh (0.5802, 0.1250, 0.2500)
Rh (0.1698, 0.6250, 0.2500)
Rh (0.3750, 0.4198, 0.7500)
Rh (0.8750, 0.8302, 0.7500)
Ag (0.5000, 0.5000, 0.0000)
Ag (0.2500, 0.7500, 0.5000)

Computed properties:
E_tot, eV/atom: -4.8560
V, Å³/cell: 155.7
Theoretical density, Mg/m³: 11.1



No. 13
# Ce2SbAu

An optimized crystal structure of Ce2SbAu (PBE-GGA, Alexandria).

abc: 3.9972 5.1943 5.1943
angles: 90.00 90.00 90.00
Each line ends with the local moment (μB).
Positions (direct):
Sb (0.5000, 0.5000, 0.5000)  -0.04
Au (0.5000, 0.0000, 0.0000)  0.03
Ce (0.0000, 0.0000, 0.5000)  1.02
Ce (0.0000, 0.5000, 0.0000)  1.02

Computed properties:
Energy relative to the elements, uncorrected, eV/atom: -0.730
E_tot, eV/atom: -5.5467
V, Å³/cell: 107.8
Theoretical density, Mg/m³: 9.2



No. 14
# ReSb2As

An optimized crystal structure of ReSb2As (PBE-GGA, Alexandria).

abc: 3.4351 5.4114 6.1161
angles: 46.45 90.00 90.00
Positions (direct):
Re (0.0000, 0.0000, 0.5000)
As (0.5000, 0.5000, 0.5000)
Sb (0.0000, 0.0000, 0.0000)
Sb (0.5000, 0.5000, 0.0000)

Computed properties:
Energy relative to the elements, uncorrected, eV/atom: 0.825
E_tot, eV/atom: -5.5103
V, Å³/cell: 82.4
Theoretical density, Mg/m³: 10.2



No. 15
# Pr6PRu2Br3

An optimized crystal structure of Pr6PRu2Br3 (PBE-GGA, Alexandria).

abc: 7.2687 7.2687 8.0913
angles: 98.68 98.68 119.98
Positions (direct):
Pr (0.9352, 0.5914, 0.8017)
Pr (0.7218, 0.7218, 0.1978)
Pr (0.0648, 0.4086, 0.1983)
Pr (0.5914, 0.9352, 0.8017)
Pr (0.2782, 0.2782, 0.8022)
Pr (0.4086, 0.0648, 0.1983)
P (0.0000, 0.0000, 0.0000)
Ru (0.3329, 0.6671, 0.0000)
Ru (0.6671, 0.3329, 0.0000)
Br (0.1642, 0.8358, 0.5000)
Br (0.8358, 0.1642, 0.5000)
Br (0.5000, 0.5000, 0.5000)

Computed properties:
Energy relative to the elements, uncorrected, eV/atom: -0.992
E_tot, eV/atom: -5.7973
V, Å³/cell: 353.0
Theoretical density, Mg/m³: 6.2



No. 16
# CsYSiTe4

An optimized crystal structure of CsYSiTe4 (PBE-GGA, Alexandria).

abc: 7.1627 7.6539 10.4677
angles: 90.00 109.19 90.00
Positions (direct):
Cs (0.7635, 0.7500, 0.9443)
Cs (0.2365, 0.2500, 0.0557)
Y (0.7708, 0.7500, 0.4511)
Y (0.2292, 0.2500, 0.5489)
Si (0.2137, 0.7500, 0.3376)
Si (0.7863, 0.2500, 0.6624)
Te (0.0225, 0.5073, 0.6993)
Te (0.9775, 0.0073, 0.3007)
Te (0.9775, 0.4927, 0.3007)
Te (0.0225, 0.9927, 0.6993)
Te (0.4126, 0.7500, 0.1799)
Te (0.5874, 0.2500, 0.8201)
Te (0.4381, 0.7500, 0.5785)
Te (0.5619, 0.2500, 0.4215)

Computed properties:
Energy relative to the elements, uncorrected, eV/atom: -0.836
E_tot, eV/atom: -4.4512
V, Å³/cell: 542.0
Theoretical density, Mg/m³: 4.7



No. 17
# Ca2Tl3TcO6

An optimized crystal structure of Ca2Tl3TcO6 (PBE-GGA, Alexandria).

abc: 5.8733 5.8733 6.6998
angles: 98.22 98.22 119.75
Each line ends with the local moment (μB).
Positions (direct):
Ca (0.3333, 0.6667, 0.0000)  0.01
Ca (0.6667, 0.3333, 0.0000)  0.01
Tl (0.1661, 0.8339, 0.5000)  0.01
Tl (0.8339, 0.1661, 0.5000)  0.01
Tl (0.5000, 0.5000, 0.5000)  0.01
Tc (0.0000, 0.0000, 0.0000)  1.47
O (0.9406, 0.6589, 0.8315)  0.03
O (0.7750, 0.7750, 0.1859)  0.03
O (0.0594, 0.3411, 0.1685)  0.03
O (0.6589, 0.9406, 0.8315)  0.03
O (0.2250, 0.2250, 0.8141)  0.03
O (0.3411, 0.0594, 0.1685)  0.03

Computed properties:
Energy relative to the elements, uncorrected, eV/atom: -1.593
E_tot, eV/atom: -5.8610
V, Å³/cell: 192.3
Theoretical density, Mg/m³: 7.7



No. 18
# NdGaHIr2

An optimized crystal structure of NdGaHIr2 (PBE-GGA, Alexandria).

abc: 4.0350 5.8278 7.2234
angles: 90.00 90.00 110.25
Positions (direct):
Nd (0.4387, 0.8775, 0.7500)
Nd (0.5613, 0.1225, 0.2500)
Ga (0.7187, 0.4374, 0.7500)
Ga (0.2813, 0.5626, 0.2500)
H (0.0000, 0.0000, 0.0000)
H (0.0000, 0.0000, 0.5000)
Ir (0.1594, 0.3188, 0.9479)
Ir (0.8406, 0.6812, 0.0521)
Ir (0.1594, 0.3188, 0.5521)
Ir (0.8406, 0.6812, 0.4479)

Computed properties:
E_tot, eV/atom: -6.2645
V, Å³/cell: 159.4
Theoretical density, Mg/m³: 12.5



No. 19
# Pm4Sm5Ag

An optimized crystal structure of Pm4Sm5Ag (PBE-GGA, Alexandria).

abc: 3.6452 3.6452 24.4553
angles: 90.00 90.00 90.00
Positions (direct):
Pm (0.0000, 0.0000, 0.1850)
Pm (0.0000, 0.0000, 0.3947)
Pm (0.0000, 0.0000, 0.6053)
Pm (0.0000, 0.0000, 0.8150)
Sm (0.5000, 0.5000, 0.0790)
Sm (0.5000, 0.5000, 0.2892)
Sm (0.5000, 0.5000, 0.5000)
Sm (0.5000, 0.5000, 0.7108)
Sm (0.5000, 0.5000, 0.9210)
Ag (0.0000, 0.0000, 0.0000)

Computed properties:
E_tot, eV/atom: -4.5838
V, Å³/cell: 325.0
Theoretical density, Mg/m³: 7.4



No. 20
# TaSiIr2

An optimized crystal structure of TaSiIr2 (PBE-GGA, Alexandria).

abc: 4.6523 4.6523 2.8703
angles: 90.00 90.00 105.47
Positions (direct):
Ir (0.0000, 0.0000, 0.0000)
Ir (0.5000, 0.5000, 0.0000)
Si (0.5000, 0.0000, 0.5000)
Ta (0.0000, 0.5000, 0.5000)

Computed properties:
Energy relative to the elements, uncorrected, eV/atom: -0.387
E_tot, eV/atom: -9.1368
V, Å³/cell: 59.9
Theoretical density, Mg/m³: 16.5